Here is crystalline Rb3HgAs at its relaxed geometry from Alexandria. Energies are from PBEsol.

Cell: 6.6562 6.6562 6.6562 Å, 90.00 90.00 90.00°
Element x y z (fractional)
1 Rb 0.0000 0.0000 0.5000
2 Rb 0.0000 0.5000 0.0000
3 Rb 0.5000 0.0000 0.0000
4 Hg 0.5000 0.5000 0.5000
5 As 0.0000 0.0000 0.0000

Output
M_tot = 0.0 Bohr magnetons per cell
Crystal system = cubic
ΔH_f (0 K) = -0.06 eV per atom
VASP energy = -9.1 eV/cell
Space-group type = Pm-3m (221)